5
Lattice="5.291 0.000 0.000 0.000 4.554 0.000 0.000 0.000 5.291" Properties=species:S:1:pos:R:3 comment="PBE+U Sr2MgMoO, optimized geometry" total_energy_ha_per_atom=-0.14436 space_group="P4/mmm (123)" pbc="T T T"
Sr 0.000 0.000 2.645
Mo 2.645 2.277 2.645
Mg 0.000 2.277 0.000
O 0.000 0.000 0.000
Sr 2.645 0.000 0.000